## Cs2TlRu (PBE)

Data for an optimized crystal structure of Cs2TlRu.

Results
Total magnetic moment in μB/atom: 0.340
Calculated density in g/cm³: 5.8
Total energy in eV for the cell shown: -35.312
Crystal system: cubic
Polymorph energy (0 for the lowest one) in kJ per mole of atoms: 43.31

a = 8.6919 Å, b = 8.6919 Å, c = 8.6919 Å
α = 90.00°, β = 90.00°, γ = 90.00°
Closest atoms and distances in Å follow each position.
Atoms (fractional coordinates):
Cs (0.2500, 0.2500, 0.2500)  4 Ru 3.76, 4 Tl 3.76
Cs (0.2500, 0.2500, 0.7500)  4 Tl 3.76, 4 Ru 3.76
Cs (0.2500, 0.7500, 0.2500)  4 Tl 3.76, 4 Ru 3.76
Cs (0.2500, 0.7500, 0.7500)  4 Ru 3.76, 4 Tl 3.76
Cs (0.7500, 0.2500, 0.2500)  4 Tl 3.76, 4 Ru 3.76
Cs (0.7500, 0.2500, 0.7500)  4 Ru 3.76, 4 Tl 3.76
Cs (0.7500, 0.7500, 0.2500)  4 Ru 3.76, 4 Tl 3.76
Cs (0.7500, 0.7500, 0.7500)  4 Tl 3.76, 4 Ru 3.76
Tl (0.0000, 0.0000, 0.0000)  8 Cs 3.76
Tl (0.0000, 0.5000, 0.5000)  8 Cs 3.76
Tl (0.5000, 0.0000, 0.5000)  8 Cs 3.76
Tl (0.5000, 0.5000, 0.0000)  8 Cs 3.76
Ru (0.0000, 0.0000, 0.5000)  8 Cs 3.76
Ru (0.0000, 0.5000, 0.0000)  8 Cs 3.76
Ru (0.5000, 0.0000, 0.0000)  8 Cs 3.76
Ru (0.5000, 0.5000, 0.5000)  8 Cs 3.76

## Zr2PPd2 (PBE)

Data for an optimized crystal structure of Zr2PPd2.

Results
Total magnetic moment in μB/atom: 0.000
Calculated density in g/cm³: 7.8
Total energy in eV for the cell shown: -71.245
Crystal system: tetragonal
Polymorph energy (0 for the lowest one) in kJ per mole of atoms: 0.66

a = 6.9115 Å, b = 6.9115 Å, c = 3.8233 Å
α = 90.00°, β = 90.00°, γ = 90.00°
Closest atoms and distances in Å follow each position.
Atoms (fractional coordinates):
Zr (0.1721, 0.3279, 0.0000)  6 Pd 2.68-2.87
Zr (0.3279, 0.8279, 0.0000)  6 Pd 2.68-2.87
Zr (0.6721, 0.1721, 0.0000)  6 Pd 2.68-2.87
Zr (0.8279, 0.6721, 0.0000)  6 Pd 2.68-2.87
P (0.0000, 0.0000, 0.5000)  4 Pd 2.69
P (0.5000, 0.5000, 0.5000)  4 Pd 2.69
Pd (0.1352, 0.6352, 0.5000)  1 Pd 2.64, 6 Zr 2.68-2.87, 2 P 2.69
Pd (0.3648, 0.1352, 0.5000)  1 Pd 2.64, 6 Zr 2.68-2.87, 2 P 2.69
Pd (0.6352, 0.8648, 0.5000)  1 Pd 2.64, 6 Zr 2.68-2.87, 2 P 2.69
Pd (0.8648, 0.3648, 0.5000)  1 Pd 2.64, 6 Zr 2.68-2.87, 2 P 2.69

## Tm3PuTl4 (PBE)

Data for an optimized crystal structure of Tm3PuTl4.

Results
Total magnetic moment in μB/atom: 0.803
Calculated density in g/cm³: 12.1
Total energy in eV for the cell shown: -77.809
Crystal system: orthorhombic

a = 10.7381 Å, b = 7.4776 Å, c = 5.3665 Å
α = 90.00°, β = 90.00°, γ = 90.00°
Closest atoms and distances in Å follow each position.
Atoms (fractional coordinates):
Tm (0.0000, 0.0000, 0.0000)  8 Tl 3.24
Tm (0.2500, 0.0000, 0.4968)  8 Tl 3.24
Tm (0.2500, 0.5000, 0.4965)  8 Tl 3.30
Tm (0.5000, 0.0000, 0.0000)  8 Tl 3.24
Tm (0.7500, 0.0000, 0.5032)  8 Tl 3.24
Tm (0.7500, 0.5000, 0.5035)  8 Tl 3.30
Pu (0.0000, 0.5000, 0.0000)  8 Tl 3.30
Pu (0.5000, 0.5000, 0.0000)  8 Tl 3.30
Tl (0.0000, 0.2434, 0.5000)  6 Tm 3.24-3.30, 2 Pu 3.30
Tl (0.0000, 0.7566, 0.5000)  6 Tm 3.24-3.30, 2 Pu 3.30
Tl (0.2500, 0.2434, 0.9964)  6 Tm 3.24-3.30, 2 Pu 3.30
Tl (0.2500, 0.7566, 0.9964)  6 Tm 3.24-3.30, 2 Pu 3.30
Tl (0.5000, 0.2434, 0.5000)  6 Tm 3.24-3.30, 2 Pu 3.30
Tl (0.5000, 0.7566, 0.5000)  6 Tm 3.24-3.30, 2 Pu 3.30
Tl (0.7500, 0.2434, 0.0036)  6 Tm 3.24-3.30, 2 Pu 3.30
Tl (0.7500, 0.7566, 0.0036)  6 Tm 3.24-3.30, 2 Pu 3.30

## Tm3CuIr8 (PBE)

Data for an optimized crystal structure of Tm3CuIr8.

Results
Total magnetic moment in μB/atom: 0.000
Calculated density in g/cm³: 16.7
Total energy in eV for the cell shown: -95.028
Crystal system: trigonal

a = 9.1551 Å, b = 9.1551 Å, c = 9.1551 Å
α = 33.59°, β = 33.59°, γ = 33.59°
Closest atoms and distances in Å follow each position.
Atoms (fractional coordinates):
Tm (0.0000, 0.0000, 0.0000)  12 Ir 3.10-3.11, 4 Tm 3.33-3.35
Tm (0.1295, 0.1295, 0.1295)  12 Ir 2.99-3.16, 3 Cu 3.12
Tm (0.6157, 0.6157, 0.6157)  12 Ir 2.99-3.31, 1 Cu 3.31, 3 Tm 3.33
Cu (0.4879, 0.4879, 0.4879)  6 Ir 2.83-3.06, 3 Tm 3.12
Ir (0.0619, 0.0619, 0.5622)  6 Ir 2.62-2.65
Ir (0.0619, 0.5622, 0.0619)  6 Ir 2.62-2.65
Ir (0.0625, 0.5627, 0.5627)  6 Ir 2.64-2.65, 1 Cu 2.83
Ir (0.3124, 0.3124, 0.3124)  6 Ir 2.65
Ir (0.5622, 0.0619, 0.0619)  6 Ir 2.62-2.65
Ir (0.5627, 0.0625, 0.5627)  6 Ir 2.64-2.65, 1 Cu 2.83
Ir (0.5627, 0.5627, 0.0625)  6 Ir 2.64-2.65, 1 Cu 2.83
Ir (0.8129, 0.8129, 0.8129)  6 Ir 2.62-2.65

## CaNiH3 (PBE)

Data for an optimized crystal structure of CaNiH3.

Results
Total magnetic moment in μB/atom: 0.000
Calculated density in g/cm³: 3.0
Total energy in eV for the cell shown: -17.305
Crystal system: tetragonal

a = 3.4448 Å, b = 3.4448 Å, c = 4.6784 Å
α = 90.00°, β = 90.00°, γ = 90.00°
Closest atoms and distances in Å follow each position.
Atoms (fractional coordinates):
Ca (0.0000, 0.0000, 0.0000)  5 H 2.16-2.20
Ni (0.5000, 0.5000, 0.3491)  4 H 1.74
H (0.0000, 0.0000, 0.5393)  4 H 2.08, 1 Ca 2.16
H (0.0000, 0.5000, 0.2918)  2 Ni 1.74
H (0.5000, 0.0000, 0.2918)  2 Ni 1.74

## Tb5Ce2Er5 (PBE)

Data for an optimized crystal structure of Tb5Ce2Er5.

Results
Total magnetic moment in μB/atom: 0.128
Calculated density in g/cm³: 8.6
Total energy in eV for the cell shown: -56.976
Crystal system: monoclinic

a = 6.5615 Å, b = 6.5615 Å, c = 11.9442 Å
α = 107.46°, β = 107.46°, γ = 49.56°
Closest atoms and distances in Å follow each position.
Atoms (fractional coordinates):
Tb (0.0000, 0.0000, 0.0000)  8 Er 3.43-3.65, 4 Tb 3.66
Tb (0.0484, 0.0484, 0.6939)  2 Tb 3.32, 2 Ce 3.36-3.42, 5 Er 3.52-3.54
Tb (0.4500, 0.4500, 0.7875)  4 Er 3.23-3.61, 2 Tb 3.32, 1 Ce 3.40
Tb (0.5500, 0.5500, 0.2125)  4 Er 3.23-3.61, 2 Tb 3.32, 1 Ce 3.40
Tb (0.9516, 0.9516, 0.3061)  2 Tb 3.32, 2 Ce 3.36-3.42, 5 Er 3.52-3.54
Ce (0.2236, 0.2236, 0.5241)  2 Ce 2.92
Ce (0.7764, 0.7764, 0.4759)  2 Ce 2.92
Er (0.2537, 0.2537, 0.2426)  6 Tb 3.43-3.66, 4 Er 3.48-3.59, 1 Ce 3.50
Er (0.2908, 0.2908, 0.9606)  3 Er 3.16-3.54, 3 Tb 3.23-3.53
Er (0.5000, 0.5000, 0.5000)  6 Ce 3.40-3.77, 2 Er 3.48, 6 Tb 3.52-3.67
Er (0.7092, 0.7092, 0.0394)  3 Er 3.16-3.54, 3 Tb 3.23-3.53
Er (0.7463, 0.7463, 0.7574)  6 Tb 3.43-3.66, 4 Er 3.48-3.59, 1 Ce 3.50

## Er3NpRu4 (PBE)

Data for an optimized crystal structure of Er3NpRu4.

Results
Total magnetic moment in μB/atom: 0.253
Calculated density in g/cm³: 12.4
Total energy in eV for the cell shown: -66.595
Crystal system: orthorhombic

a = 3.3694 Å, b = 4.8456 Å, c = 9.4083 Å
α = 90.00°, β = 90.00°, γ = 90.00°
Closest atoms and distances in Å follow each position.
Atoms (fractional coordinates):
Er (0.0000, 0.0000, 0.0000)  8 Ru 2.95-3.09
Er (0.0000, 0.5000, 0.2451)  8 Ru 2.86-2.96
Er (0.0000, 0.5000, 0.7549)  8 Ru 2.86-2.96
Np (0.0000, 0.0000, 0.5000)  8 Ru 2.70-2.95
Ru (0.5000, 0.0000, 0.2753)  2 Np 2.70, 4 Er 2.96
Ru (0.5000, 0.0000, 0.7247)  2 Np 2.70, 4 Er 2.96
Ru (0.5000, 0.5000, 0.0000)  8 Er 2.86-2.95
Ru (0.5000, 0.5000, 0.5000)  4 Er 2.93, 4 Np 2.95, 4 Ru 3.22

## Tl2Hg2Sb2Pb3 (PBE)

Data for an optimized crystal structure of Tl2Hg2Sb2Pb3.

Results
Total magnetic moment in μB/atom: 0.000
Calculated density in g/cm³: 9.3
Total energy in eV for the cell shown: -23.993
Crystal system: tetragonal

a = 9.3005 Å, b = 9.3005 Å, c = 9.3005 Å
α = 142.20°, β = 142.20°, γ = 54.52°
Closest atoms and distances in Å follow each position.
Atoms (fractional coordinates):
Tl (0.1125, 0.1125, 0.0000)  1 Sb 3.27, 4 Hg 3.54
Tl (0.8875, 0.8875, 0.0000)  1 Sb 3.27, 4 Hg 3.54
Hg (0.0000, 0.5000, 0.5000)  2 Pb 3.01
Hg (0.5000, 0.0000, 0.5000)  2 Pb 3.01
Sb (0.3104, 0.3104, 0.0000)  5 Pb 3.14-3.17, 1 Tl 3.27
Sb (0.6896, 0.6896, 0.0000)  5 Pb 3.14-3.17, 1 Tl 3.27
Pb (0.2500, 0.7500, 0.5000)  4 Sb 3.17
Pb (0.5000, 0.5000, 0.0000)  4 Hg 3.01, 2 Sb 3.14
Pb (0.7500, 0.2500, 0.5000)  4 Sb 3.17

## Pm4In3Rh (PBE)

Data for an optimized crystal structure of Pm4In3Rh.

Results
Total magnetic moment in μB/atom: 0.000
Calculated density in g/cm³: 8.0
Total energy in eV for the cell shown: -38.869
Crystal system: tetragonal
Polymorph energy (0 for the lowest one) in kJ per mole of atoms: 0.00

a = 3.6238 Å, b = 3.6238 Å, c = 16.3395 Å
α = 90.00°, β = 90.00°, γ = 90.00°
Closest atoms and distances in Å follow each position.
Atoms (fractional coordinates):
Pm (0.0000, 0.0000, 0.1025)  4 Rh 3.06, 1 Pm 3.35, 4 In 3.39
Pm (0.0000, 0.0000, 0.3681)  8 In 3.33-3.35, 4 Pm 3.62
Pm (0.0000, 0.0000, 0.6319)  8 In 3.33-3.35, 4 Pm 3.62
Pm (0.0000, 0.0000, 0.8975)  4 Rh 3.06, 1 Pm 3.35, 4 In 3.39
In (0.5000, 0.5000, 0.2382)  8 Pm 3.33-3.39, 4 In 3.62
In (0.5000, 0.5000, 0.5000)  8 Pm 3.35, 4 In 3.62
In (0.5000, 0.5000, 0.7618)  8 Pm 3.33-3.39, 4 In 3.62
Rh (0.5000, 0.5000, 0.0000)  8 Pm 3.06

## Tl3Pb4Au2 (PBE)

Data for an optimized crystal structure of Tl3Pb4Au2.

Results
Total magnetic moment in μB/atom: 0.000
Calculated density in g/cm³: 11.6
Total energy in eV for the cell shown: -28.508
Crystal system: triclinic

a = 4.5653 Å, b = 7.3738 Å, c = 9.0496 Å
α = 103.83°, β = 104.58°, γ = 107.88°
Closest atoms and distances in Å follow each position.
Atoms (fractional coordinates):
Tl (0.0000, 0.0000, 0.0000)  2 Au 3.12, 4 Pb 3.23-3.24
Tl (0.2623, 0.8872, 0.6333)  3 Au 3.07-3.10
Tl (0.7377, 0.1128, 0.3667)  3 Au 3.07-3.10
Pb (0.3195, 0.6646, 0.9753)  3 Au 3.19-3.30, 2 Tl 3.23-3.24, 5 Pb 3.38-3.44
Pb (0.4414, 0.5543, 0.3284)  2 Au 3.00, 1 Pb 3.35
Pb (0.5586, 0.4457, 0.6716)  2 Au 3.00, 1 Pb 3.35
Pb (0.6805, 0.3354, 0.0247)  3 Au 3.19-3.30, 2 Tl 3.23-3.24, 5 Pb 3.38-3.44
Au (0.0291, 0.7946, 0.2647)  5 Pb 3.00-3.30, 4 Tl 3.07-3.12
Au (0.9709, 0.2054, 0.7353)  5 Pb 3.00-3.30, 4 Tl 3.07-3.12

## CsLiCd2 (PBE)

Data for an optimized crystal structure of CsLiCd2.

Results
Total magnetic moment in μB/atom: 0.000
Calculated density in g/cm³: 4.8
Total energy in eV for the cell shown: -4.747
Crystal system: tetragonal
Polymorph energy (0 for the lowest one) in kJ per mole of atoms: 0.00

a = 3.8024 Å, b = 3.8024 Å, c = 8.7789 Å
α = 90.00°, β = 90.00°, γ = 90.00°
Closest atoms and distances in Å follow each position.
Atoms (fractional coordinates):
Cs (0.0000, 0.0000, 0.0000)  4 Cs 3.80, 8 Cd 3.98
Li (0.0000, 0.0000, 0.5000)  8 Cd 3.06
Cd (0.5000, 0.5000, 0.3335)  1 Cd 2.92, 4 Li 3.06
Cd (0.5000, 0.5000, 0.6665)  1 Cd 2.92, 4 Li 3.06

## LaMnBr (PBE)

Data for an optimized crystal structure of LaMnBr.

Results
Total magnetic moment in μB/atom: 1.070
Calculated density in g/cm³: 5.7
Total energy in eV for the cell shown: -32.996
Crystal system: tetragonal

a = 3.5478 Å, b = 3.5478 Å, c = 12.6545 Å
α = 90.00°, β = 90.00°, γ = 90.00°
Closest atoms and distances in Å follow each position.
Atoms (fractional coordinates):
La (0.0000, 0.0000, 0.0000)  4 Mn 3.21, 4 Br 3.32, 4 La 3.55
La (0.5000, 0.5000, 0.5000)  4 Mn 3.21, 4 Br 3.32, 4 La 3.55
Mn (0.0000, 0.0000, 0.3417)  4 La 3.21, 4 Br 3.31, 4 Mn 3.55
Mn (0.5000, 0.5000, 0.8417)  4 La 3.21, 4 Br 3.31, 4 Mn 3.55
Br (0.0000, 0.0000, 0.6716)  4 Mn 3.31, 4 La 3.32, 4 Br 3.55
Br (0.5000, 0.5000, 0.1716)  4 Mn 3.31, 4 La 3.32, 4 Br 3.55

Among the records above, which one has the lowest calculated density?
CaNiH3

Please write out number 6 again, unchanged.
## Tb5Ce2Er5 (PBE)

Data for an optimized crystal structure of Tb5Ce2Er5.

Results
Total magnetic moment in μB/atom: 0.128
Calculated density in g/cm³: 8.6
Total energy in eV for the cell shown: -56.976
Crystal system: monoclinic

a = 6.5615 Å, b = 6.5615 Å, c = 11.9442 Å
α = 107.46°, β = 107.46°, γ = 49.56°
Closest atoms and distances in Å follow each position.
Atoms (fractional coordinates):
Tb (0.0000, 0.0000, 0.0000)  8 Er 3.43-3.65, 4 Tb 3.66
Tb (0.0484, 0.0484, 0.6939)  2 Tb 3.32, 2 Ce 3.36-3.42, 5 Er 3.52-3.54
Tb (0.4500, 0.4500, 0.7875)  4 Er 3.23-3.61, 2 Tb 3.32, 1 Ce 3.40
Tb (0.5500, 0.5500, 0.2125)  4 Er 3.23-3.61, 2 Tb 3.32, 1 Ce 3.40
Tb (0.9516, 0.9516, 0.3061)  2 Tb 3.32, 2 Ce 3.36-3.42, 5 Er 3.52-3.54
Ce (0.2236, 0.2236, 0.5241)  2 Ce 2.92
Ce (0.7764, 0.7764, 0.4759)  2 Ce 2.92
Er (0.2537, 0.2537, 0.2426)  6 Tb 3.43-3.66, 4 Er 3.48-3.59, 1 Ce 3.50
Er (0.2908, 0.2908, 0.9606)  3 Er 3.16-3.54, 3 Tb 3.23-3.53
Er (0.5000, 0.5000, 0.5000)  6 Ce 3.40-3.77, 2 Er 3.48, 6 Tb 3.52-3.67
Er (0.7092, 0.7092, 0.0394)  3 Er 3.16-3.54, 3 Tb 3.23-3.53
Er (0.7463, 0.7463, 0.7574)  6 Tb 3.43-3.66, 4 Er 3.48-3.59, 1 Ce 3.50